CsNaHgI2: relaxed, PBE.

Unit cell a=6.236 b=6.236 c=5.886 alpha=90.00 beta=90.00 gamma=90.00
Space group P4/mmm (No. 123)
Unique sites:
Cs (0.000, 0.000, 0.000) [1 per cell]
Na (0.500, 0.500, 0.500) [1 per cell]
Hg (0.500, 0.500, 0.000) [1 per cell]
I (0.000, 0.500, 0.500) [2 per cell]

Output
Formation energy (no corrections): -1.01 eV per atom
DFT total energy: -10.6 eV per cell
Calculated volume: 45.8 A^3/atom